Entry from the Alexandria database: a relaxed Li5PmAg7 crystal (GGA-PBE).

Summary:
* total energy: -2.807 eV per atom
* N(E_F): 5.0 states/eV/f.u.
* energy of formation: -170 meV/atom

Cell: 5.285 9.396 9.347 Å, 90.00 90.00 90.00°
Space group Imm2 (No. 44)
One atom of each set of equivalent atoms:
Li 0.000 0.000 0.000 [2 per cell]
Li 0.247 0.248 0.478 [8 per cell]
Pm 0.000 0.500 0.739 [2 per cell]
Ag 0.000 0.000 0.447 [2 per cell]
Ag 0.000 0.152 0.730 [4 per cell]
Ag 0.000 0.215 0.225 [4 per cell]
Ag 0.000 0.500 0.084 [2 per cell]
Ag 0.000 0.500 0.389 [2 per cell]

Entry from the Alexandria database: a relaxed CdTe2 crystal (GGA-PBE).

Summary:
* total energy: -2.501 eV per atom
* formation energy (no corrections): -0.102 eV/atom
* N(E_F): 1.6 states/eV/f.u.

Cell: 4.230 4.230 11.782 Å, 90.00 90.00 90.00°
Space group P4/nmm (No. 129, origin choice 2)
One atom of each set of equivalent atoms:
Cd 0.250 0.250 0.096 [2 per cell]
Te 0.250 0.250 0.848 [2 per cell]
Te 0.250 0.750 0.500 [2 per cell]

Entry from the Alexandria database: a relaxed Mg5Mo4 crystal (GGA-PBE).

Summary:
* total energy: -5.452 eV per atom
* N(E_F): 3.9 states/eV/f.u.
* energy of formation: 248 meV/atom

Cell: 9.911 9.911 3.309 Å, 90.00 90.00 90.00°
Space group I4/mmm (No. 139)
One atom of each set of equivalent atoms:
Mg 0.000 0.000 0.000 [2 per cell]
Mg 0.168 0.168 0.500 [8 per cell]
Mo 0.000 0.350 0.000 [8 per cell]

Entry from the Alexandria database: a relaxed ScTl2Cl crystal (GGA-PBE).

Summary:
* total energy: -3.464 eV per atom
* formation energy (no corrections): -0.237 eV/atom
* N(E_F): 2.1 states/eV/f.u.

Cell: 4.752 4.752 8.871 Å, 90.00 90.00 90.00°
Space group I-4m2 (No. 119)
One atom of each set of equivalent atoms:
Sc 0.000 0.000 0.000 [2 per cell]
Tl 0.000 0.000 0.500 [2 per cell]
Tl 0.000 0.500 0.750 [2 per cell]
Cl 0.000 0.500 0.250 [2 per cell]